A geometry-optimized ZnTeH12Se3N4 structure, computed with PBEsol.

Final energy in eV per cell: -393.52

Lattice parameters (Å, degrees): 13.2624 6.5752 13.1762 90.00 90.00 90.00
Closest atoms and distances in Å follow each position.
Fractional coordinates of all 84 atoms:
Zn  0.2388  0.0193  0.0000  4 N 2.00-2.01
Zn  0.2612  0.0193  0.5000  4 N 2.00-2.01
Zn  0.7388  0.9807  0.0000  4 N 2.00-2.01
Zn  0.7612  0.9807  0.5000  4 N 2.00-2.01
Te  0.0484  0.5979  0.2927  3 Se 2.50-2.51
Te  0.4516  0.5979  0.7927  3 Se 2.50-2.51
Te  0.5484  0.4021  0.2927  3 Se 2.50-2.51
Te  0.9516  0.4021  0.7927  3 Se 2.50-2.51
H  0.0802  0.1448  0.5068  1 N 1.04
H  0.0822  0.8901  0.5168  1 N 1.04
H  0.0952  0.2673  0.0452  1 N 1.04
H  0.0983  0.0348  0.6190  1 N 1.04
H  0.1095  0.1017  0.1398  1 N 1.04
H  0.1185  0.6985  0.9848  1 N 1.04
H  0.1711  0.0678  0.8204  1 N 1.04
H  0.1866  0.2988  0.1300  1 N 1.04
H  0.2040  0.0243  0.3166  1 N 1.03
H  0.2104  0.6610  0.0688  1 N 1.04
H  0.2336  0.6498  0.9433  1 N 1.04
H  0.2475  0.2568  0.3386  1 N 1.04
H  0.2525  0.2568  0.8386  1 N 1.04
H  0.2664  0.6498  0.4433  1 N 1.04
H  0.2896  0.6610  0.5688  1 N 1.04
H  0.2960  0.0243  0.8166  1 N 1.03
H  0.3134  0.2988  0.6300  1 N 1.04
H  0.3289  0.0678  0.3204  1 N 1.04
H  0.3815  0.6985  0.4848  1 N 1.04
H  0.3905  0.1017  0.6398  1 N 1.04
H  0.4017  0.0348  0.1190  1 N 1.04
H  0.4048  0.2673  0.5452  1 N 1.04
H  0.4178  0.8901  0.0168  1 N 1.04
H  0.4198  0.1448  0.0068  1 N 1.04
H  0.5802  0.8552  0.5068  1 N 1.04
H  0.5822  0.1099  0.5168  1 N 1.04
H  0.5952  0.7327  0.0452  1 N 1.04
H  0.5983  0.9652  0.6190  1 N 1.04
H  0.6095  0.8983  0.1398  1 N 1.04
H  0.6185  0.3015  0.9848  1 N 1.04
H  0.6711  0.9322  0.8204  1 N 1.04
H  0.6866  0.7012  0.1300  1 N 1.04
H  0.7040  0.9757  0.3166  1 N 1.03
H  0.7104  0.3390  0.0688  1 N 1.04
H  0.7336  0.3502  0.9433  1 N 1.04
H  0.7475  0.7432  0.3386  1 N 1.04
H  0.7525  0.7432  0.8386  1 N 1.04
H  0.7664  0.3502  0.4433  1 N 1.04
H  0.7896  0.3390  0.5688  1 N 1.04
H  0.7960  0.9757  0.8166  1 N 1.03
H  0.8134  0.7012  0.6300  1 N 1.04
H  0.8289  0.9322  0.3204  1 N 1.04
H  0.8815  0.3015  0.4848  1 N 1.04
H  0.8905  0.8983  0.6398  1 N 1.04
H  0.9017  0.9652  0.1190  1 N 1.04
H  0.9048  0.7327  0.5452  1 N 1.04
H  0.9178  0.1099  0.0168  1 N 1.04
H  0.9198  0.8552  0.0068  1 N 1.04
Se  0.0084  0.9695  0.2829  4 H 2.44-2.66, 1 Te 2.50
Se  0.0449  0.5225  0.4789  4 H 2.48-2.61, 1 Te 2.50
Se  0.2324  0.5856  0.2500  4 H 2.46-2.62, 1 Te 2.51
Se  0.2676  0.5856  0.7500  4 H 2.46-2.62, 1 Te 2.51
Se  0.4551  0.5225  0.9789  4 H 2.48-2.61, 1 Te 2.50
Se  0.4916  0.9695  0.7829  4 H 2.44-2.66, 1 Te 2.50
Se  0.5084  0.0305  0.2829  4 H 2.44-2.66, 1 Te 2.50
Se  0.5449  0.4775  0.4789  4 H 2.48-2.61, 1 Te 2.50
Se  0.7324  0.4144  0.2500  4 H 2.46-2.62, 1 Te 2.51
Se  0.7676  0.4144  0.7500  4 H 2.46-2.62, 1 Te 2.51
Se  0.9551  0.4775  0.9789  4 H 2.48-2.61, 1 Te 2.50
Se  0.9916  0.0305  0.7829  4 H 2.44-2.66, 1 Te 2.50
N  0.1155  0.0236  0.5425  3 H 1.04
N  0.1492  0.1890  0.0873  3 H 1.04
N  0.1940  0.7270  0.9991  3 H 1.04
N  0.2398  0.1039  0.8539  3 H 1.03-1.04
N  0.2602  0.1039  0.3539  3 H 1.03-1.04
N  0.3060  0.7270  0.4991  3 H 1.04
N  0.3508  0.1890  0.5873  3 H 1.04
N  0.3845  0.0236  0.0425  3 H 1.04
N  0.6155  0.9764  0.5425  3 H 1.04
N  0.6492  0.8110  0.0873  3 H 1.04
N  0.6940  0.2730  0.9991  3 H 1.04
N  0.7398  0.8961  0.8539  3 H 1.03-1.04
N  0.7602  0.8961  0.3539  3 H 1.03-1.04
N  0.8060  0.2730  0.4991  3 H 1.04
N  0.8508  0.8110  0.5873  3 H 1.04
N  0.8845  0.9764  0.0425  3 H 1.04



A geometry-optimized TiHSeN2 structure, computed with PBEsol.

Final energy in eV per cell: -28.54

Lattice parameters (Å, degrees): 3.7624 3.7624 5.2332 90.00 90.00 90.00
Closest atoms and distances in Å follow each position.
Fractional coordinates of all 5 atoms:
Ti  0.0000  0.0000  0.0000  4 N 1.88
H  0.5000  0.5000  0.5000  4 Se 2.66
Se  0.0000  0.0000  0.5000  2 Ti 2.62, 4 H 2.66
N  0.0000  0.5000  0.0000  2 Ti 1.88
N  0.5000  0.0000  0.0000  2 Ti 1.88



A geometry-optimized SiHN2 structure, computed with PBEsol.

Final energy in eV per cell: -19.72

Lattice parameters (Å, degrees): 5.1996 5.1996 5.1996 30.98 30.98 30.98
Closest atoms and distances in Å follow each position.
Fractional coordinates of all 4 atoms:
Si  0.0000  0.0000  0.0000  2 N 1.73
H  0.5000  0.5000  0.5000  6 N 1.77
N  0.1169  0.1169  0.1169  1 Si 1.73, 3 H 1.77
N  0.8831  0.8831  0.8831  1 Si 1.73, 3 H 1.77



A geometry-optimized SiH3N structure, computed with PBEsol.

Final energy in eV per cell: -18.18

Lattice parameters (Å, degrees): 3.3706 3.3706 3.3706 90.00 90.00 90.00
Closest atoms and distances in Å follow each position.
Fractional coordinates of all 5 atoms:
Si  0.0000  0.0000  0.0000  6 H 1.69
H  0.0000  0.0000  0.5000  2 Si 1.69
H  0.0000  0.5000  0.0000  2 Si 1.69
H  0.5000  0.0000  0.0000  2 Si 1.69
N  0.5000  0.5000  0.5000  12 H 2.38



A geometry-optimized Si3H9N structure, computed with PBEsol.

Final energy in eV per cell: -113.54

Lattice parameters (Å, degrees): 6.5915 6.6250 7.7127 77.91 82.06 61.02
Closest atoms and distances in Å follow each position.
Fractional coordinates of all 26 atoms:
Si  0.0955  0.2013  0.2030  3 H 1.50
Si  0.2184  0.6887  0.2819  3 H 1.50-1.51
Si  0.2827  0.9383  0.7337  3 H 1.50
Si  0.7173  0.0617  0.2663  3 H 1.50
Si  0.7816  0.3113  0.7181  3 H 1.50-1.51
Si  0.9045  0.7987  0.7970  3 H 1.50
H  0.1215  0.5707  0.7920  1 Si 1.50
H  0.1863  0.5670  0.4626  1 Si 1.50
H  0.2025  0.5632  0.1467  1 Si 1.51
H  0.2179  0.2052  0.0244  1 Si 1.50
H  0.2567  0.1653  0.3401  1 Si 1.50
H  0.3021  0.1597  0.6836  1 Si 1.50
H  0.3965  0.8054  0.9060  1 Si 1.50
H  0.4065  0.7850  0.5945  1 Si 1.50
H  0.4528  0.6779  0.2612  1 Si 1.50
H  0.5472  0.3221  0.7388  1 Si 1.50
H  0.5935  0.2150  0.4055  1 Si 1.50
H  0.6035  0.1946  0.0940  1 Si 1.50
H  0.6979  0.8403  0.3164  1 Si 1.50
H  0.7433  0.8347  0.6599  1 Si 1.50
H  0.7821  0.7948  0.9756  1 Si 1.50
H  0.7975  0.4368  0.8533  1 Si 1.51
H  0.8137  0.4330  0.5374  1 Si 1.50
H  0.8785  0.4293  0.2080  1 Si 1.50
N  0.0119  0.9826  0.2497  3 Si 1.74
N  0.9881  0.0174  0.7503  3 Si 1.74



A geometry-optimized SrH4N2 structure, computed with PBEsol.

Final energy in eV per cell: -145.85

Lattice parameters (Å, degrees): 6.6544 7.6590 6.5794 90.00 109.25 90.00
Closest atoms and distances in Å follow each position.
Fractional coordinates of all 28 atoms:
Sr  0.2498  0.1219  0.0010  6 N 2.59-2.72, 4 H 2.83-2.85
Sr  0.2498  0.3781  0.5010  6 N 2.59-2.72, 4 H 2.83-2.85
Sr  0.7502  0.6219  0.4990  6 N 2.59-2.72, 4 H 2.83-2.85
Sr  0.7502  0.8781  0.9990  6 N 2.59-2.72, 4 H 2.83-2.85
H  0.0355  0.5938  0.1433  1 N 1.03
H  0.0355  0.9062  0.6433  1 N 1.03
H  0.1287  0.7345  0.3355  1 N 1.03
H  0.1287  0.7655  0.8355  1 N 1.03
H  0.3884  0.6857  0.7537  1 N 1.03
H  0.3884  0.8143  0.2537  1 N 1.03
H  0.4442  0.0358  0.6175  1 N 1.03
H  0.4442  0.4642  0.1175  1 N 1.03
H  0.5558  0.5358  0.8825  1 N 1.03
H  0.5558  0.9642  0.3825  1 N 1.03
H  0.6116  0.1857  0.7463  1 N 1.03
H  0.6116  0.3143  0.2463  1 N 1.03
H  0.8713  0.2345  0.1645  1 N 1.03
H  0.8713  0.2655  0.6645  1 N 1.03
H  0.9645  0.0938  0.3567  1 N 1.03
H  0.9645  0.4062  0.8567  1 N 1.03
N  0.0074  0.6445  0.2770  2 H 1.03
N  0.0074  0.8555  0.7770  2 H 1.03
N  0.4789  0.1172  0.7501  2 H 1.03
N  0.4789  0.3828  0.2501  2 H 1.03
N  0.5211  0.6172  0.7499  2 H 1.03
N  0.5211  0.8828  0.2499  2 H 1.03
N  0.9926  0.1445  0.2230  2 H 1.03
N  0.9926  0.3555  0.7230  2 H 1.03